Entry from Alexandria: a geometry-optimized Ba6Ti7Sb9O42 structure (PBEsol).

The structure in CIF format:
```
data_Ba6Ti7Sb9O42
_symmetry_space_group_name_H-M 'C 1 m 1'
_symmetry_Int_Tables_number 8
_cell_length_a 9.055
_cell_length_b 15.649
_cell_length_c 11.966
_cell_angle_alpha 90.00
_cell_angle_beta 90.18
_cell_angle_gamma 90.00
loop_
_symmetry_equiv_pos_as_xyz
'x,y,z'
'x,-y,z'
'x+1/2,y+1/2,z'
'x+1/2,-y+1/2,z'
loop_
_atom_site_label
_atom_site_fract_x
_atom_site_fract_y
_atom_site_fract_z
Ba1 0.000 0.000 0.000
Ba2 0.107 0.296 0.001
Ba3 0.202 0.200 0.505
Ba4 0.316 0.500 0.506
Ti1 0.031 0.375 0.359
Ti2 0.154 0.500 0.858
Ti3 0.156 0.000 0.666
Ti4 0.159 0.000 0.361
Ti5 0.274 0.122 0.852
Sb1 0.024 0.379 0.670
Sb2 0.149 0.500 0.169
Sb3 0.285 0.121 0.166
Sb4 0.404 0.333 0.755
Sb5 0.407 0.334 0.255
O1 0.008 0.400 0.833
O2 0.009 0.085 0.655
O3 0.009 0.398 0.181
O4 0.010 0.085 0.357
O5 0.010 0.393 0.507
O6 0.076 0.157 0.148
O7 0.076 0.157 0.859
O8 0.107 0.500 0.334
O9 0.108 0.500 0.680
O10 0.116 0.500 0.006
O11 0.192 0.000 0.508
O12 0.199 0.000 0.826
O13 0.202 0.000 0.178
O14 0.232 0.344 0.355
O15 0.233 0.344 0.647
O16 0.302 0.105 0.002
O17 0.302 0.415 0.855
O18 0.306 0.102 0.682
O19 0.307 0.099 0.332
O20 0.308 0.414 0.148
O21 0.330 0.240 0.850
O22 0.335 0.244 0.148
O23 0.478 0.241 0.356
O24 0.480 0.245 0.648
```

Results
As for the crystal system: monoclinic. The value obtained for the uncorrected formation energy is -2.341 eV per atom.